1.
A plane-wave DFT calculation with PBE was carried out for a geometry-optimized Tb2Al4CoPt3 structure.

POSCAR file:
```
Tb2Al4CoPt3
1.0
4.144 0.000 0.000
0.000 4.144 0.000
0.000 0.000 10.526
Tb Al Co Pt
2 4 1 3
direct
0.000 0.500 0.241
0.500 0.000 0.759
0.000 0.000 0.500
0.000 0.500 0.877
0.500 0.000 0.123
0.500 0.500 0.500
0.500 0.500 0.000
0.000 0.000 0.000
0.000 0.500 0.639
0.500 0.000 0.361
```

Computed properties:
DFT formation energy = -93.8 kJ/mol of atoms
calculated volume = 18.073 A^3/atom
total magnetization = 0.00 Bohr magnetons per cell
E = -59.184 eV/cell

2.
A plane-wave DFT calculation with PBE was carried out for a geometry-optimized FeAg2Os structure.

POSCAR file:
```
FeAg2Os
1.0
4.863 -1.339 0.000
4.863 1.339 0.000
-0.779 0.000 4.727
Fe Ag Os
1 2 1
direct
0.000 0.000 0.000
0.251 0.251 0.751
0.749 0.749 0.249
0.500 0.500 0.500
```

Computed properties:
DFT formation energy = 54.2 kJ/mol of atoms
calculated volume = 15.390 A^3/atom
total magnetization = 2.97 Bohr magnetons per cell
E = -23.146 eV/cell

3.
A plane-wave DFT calculation with PBE was carried out for a geometry-optimized LiSBrCl2 structure.

POSCAR file:
```
LiSBrCl2
1.0
5.345 0.000 0.000
0.000 5.345 0.000
0.000 0.000 4.887
Li S Br Cl
1 1 1 2
direct
0.000 0.000 0.000
0.500 0.500 0.000
0.500 0.500 0.500
0.000 0.500 0.500
0.500 0.000 0.500
```

Computed properties:
formation energy from raw total energies = 0.12 eV per formula unit
calculated volume = 27.922 A^3/atom
total magnetization = 0.30 Bohr magnetons per cell
E = -11.287 eV/cell